The following is a DFT calculation (PBE) of a relaxed structure of Ho4TeS.

M_tot   0.000 Bohr magnetons per cell
VASP energy   -0.384 Ry per atom
Crystal system   monoclinic

```
data_Ho4TeS
_chemical_formula_sum 'Ho16 Te4 S4'
_cell_length_a 7.9459
_cell_length_b 15.2886
_cell_length_c 6.8163
_cell_angle_alpha 90.00
_cell_angle_beta 124.06
_cell_angle_gamma 90.00
_space_group_name_H-M_alt 'C 1 2/c 1'
_space_group_IT_number 15
loop_
_space_group_symop_operation_xyz
'x,y,z'
'-x,-y,-z'
'-x,y,-z+1/2'
'x,-y,z+1/2'
'x+1/2,y+1/2,z'
'-x+1/2,-y+1/2,-z'
'-x+1/2,y+1/2,-z+1/2'
'x+1/2,-y+1/2,z+1/2'
loop_
_atom_site_label
_atom_site_fract_x
_atom_site_fract_y
_atom_site_fract_z
Ho1 0.2013 0.2032 0.2285
Ho2 0.2243 0.0664 0.7205
Te1 0.0000 0.4234 0.7500
S1 0.0000 0.0597 0.2500
```